(1)
A relaxed structure of LiAlOs2, computed with PBE.

Output
Formation energy from the elements, eV per atom: 0.017
Calculated density, g/cm3: 12.57
Space group: P2/m (10)

```
4
Lattice="-3.942 1.200 -0.744 -0.791 -1.201 2.256 0.650 3.921 2.881" Properties=species:S:1:pos:R:3 pbc="T T T"
Al -2.007 1.280 0.912
Li -2.078 2.640 3.481
Os -0.138 2.689 5.067
Os -0.075 1.391 2.638
```


(2)
A relaxed structure of LiAlOs2, computed with PBE.

Output
Formation energy from the elements, eV per atom: -0.120
Calculated density, g/cm3: 13.10
Space group: P4mm (99)

```
4
Lattice="2.939 0.000 0.000 0.000 2.939 0.000 0.000 0.000 6.081" Properties=species:S:1:pos:R:3 pbc="T T T"
Os 0.000 0.000 5.980
Os 1.469 1.469 1.515
Al 0.000 0.000 3.172
Li 1.469 1.469 4.536
```


(3)
A relaxed structure of LiAl2Os, computed with PBE.

Output
Formation energy from the elements, eV per atom: 0.069
Calculated density, g/cm3: 6.87
Space group: Cmm2 (35)

```
4
Lattice="2.743 -0.006 0.000 -1.140 2.495 0.000 0.000 0.000 8.875" Properties=species:S:1:pos:R:3 pbc="T T T"
Al 0.000 0.000 8.732
Al 0.802 1.244 2.182
Li 0.000 0.000 4.556
Os 0.802 1.244 6.719
```


(4)
A relaxed structure of Li2AlOs, computed with PBE.

Output
Formation energy from the elements, eV per atom: 0.029
Calculated density, g/cm3: 6.87
Space group: I4/mmm (139)

```
4
Lattice="5.071 -0.011 0.000 2.577 4.368 0.000 -3.824 -2.178 2.520" Properties=species:S:1:pos:R:3 pbc="T T T"
Al 2.536 -0.006 1.260
Li 0.000 0.000 0.000
Li 3.824 2.178 0.000
Os 1.289 2.184 1.260
```